DFT (PBE) results for a geometry-optimized Dy8IrPd2 structure.

**Space-group type**: No. 12
**Energy of formation from the pure elements**: -507.6 meV per atom
**Distance to the lowest polymorph of the same formula**: 0 meV/atom

Unit cell a=5.0694 b=6.7174 c=9.0465 alpha=104.45 beta=106.27 gamma=90.00
With the nearest neighbours (Å) after each atom.
Sites, in units of the cell vectors:
Dy (0.4112, 0.5613, 0.8224)  1 Ir 2.95
Dy (0.7963, 0.6779, 0.5926)  1 Pd 2.80
Dy (0.3357, 0.0248, 0.6714)  3 Pd 2.81-3.12, 1 Ir 2.90
Dy (0.2037, 0.3221, 0.4074)  1 Pd 2.80
Dy (0.9673, 0.2091, 0.9347)  1 Pd 2.85, 2 Ir 3.02
Dy (0.0327, 0.7909, 0.0653)  1 Pd 2.85, 2 Ir 3.02
Dy (0.6643, 0.9752, 0.3286)  3 Pd 2.81-3.12, 1 Ir 2.90
Dy (0.5888, 0.4387, 0.1776)  1 Ir 2.95
Pd (0.1884, 0.7263, 0.3768)  5 Dy 2.80-3.12
Pd (0.8116, 0.2737, 0.6232)  5 Dy 2.80-3.12
Ir (0.5000, 0.0000, 0.0000)  8 Dy 2.90-3.02

DFT (PBE) results for a geometry-optimized Dy2IrPd structure.

**Space-group type**: No. 225
**Energy of formation from the pure elements**: -903.8 meV per atom
**Distance to the lowest polymorph of the same formula**: 0 meV/atom

Unit cell a=4.8964 b=4.8964 c=4.8964 alpha=60.00 beta=60.00 gamma=60.00
With the nearest neighbours (Å) after each atom.
Sites, in units of the cell vectors:
Pd (0.0000, 0.0000, 0.0000)  8 Dy 3.00
Dy (0.7500, 0.7500, 0.7500)  4 Ir 3.00, 4 Pd 3.00
Dy (0.2500, 0.2500, 0.2500)  4 Ir 3.00, 4 Pd 3.00
Ir (0.5000, 0.5000, 0.5000)  8 Dy 3.00

DFT (PBE) results for a geometry-optimized Dy3IrPd structure.

**Space-group type**: No. 14
**Energy of formation from the pure elements**: -708.4 meV per atom

Unit cell a=6.8308 b=10.1529 c=7.7296 alpha=112.79 beta=90.00 gamma=90.00
With the nearest neighbours (Å) after each atom.
Sites, in units of the cell vectors:
Dy (0.5600, 0.8203, 0.1503)  3 Ir 2.81-3.09, 2 Pd 2.93-3.11
Dy (0.9979, 0.0090, 0.2394)  2 Ir 2.77, 2 Pd 2.92-2.93
Dy (0.5427, 0.8186, 0.6704)  2 Ir 2.78-3.07, 2 Pd 2.94-3.07
Dy (0.0427, 0.6814, 0.3296)  2 Ir 2.78-3.07, 2 Pd 2.94-3.07
Dy (0.4979, 0.4910, 0.7606)  2 Ir 2.77, 2 Pd 2.92-2.93
Dy (0.0600, 0.6797, 0.8497)  3 Ir 2.81-3.09, 2 Pd 2.93-3.11
Dy (0.9573, 0.3186, 0.6704)  2 Ir 2.78-3.07, 2 Pd 2.94-3.07
Dy (0.4400, 0.1797, 0.8497)  3 Ir 2.81-3.09, 2 Pd 2.93-3.11
Dy (0.4573, 0.1814, 0.3296)  2 Ir 2.78-3.07, 2 Pd 2.94-3.07
Dy (0.0021, 0.9910, 0.7606)  2 Ir 2.77, 2 Pd 2.92-2.93
Dy (0.9400, 0.3203, 0.1503)  3 Ir 2.81-3.09, 2 Pd 2.93-3.11
Dy (0.5021, 0.5090, 0.2394)  2 Ir 2.77, 2 Pd 2.92-2.93
Ir (0.7954, 0.5577, 0.0236)  7 Dy 2.77-3.09, 1 Ir 3.00
Ir (0.2954, 0.9423, 0.9764)  7 Dy 2.77-3.09, 1 Ir 3.00
Ir (0.7046, 0.0577, 0.0236)  7 Dy 2.77-3.09, 1 Ir 3.00
Ir (0.2046, 0.4423, 0.9764)  7 Dy 2.77-3.09, 1 Ir 3.00
Pd (0.2028, 0.4518, 0.4704)  1 Pd 2.91, 7 Dy 2.92-3.13
Pd (0.7028, 0.0482, 0.5296)  1 Pd 2.91, 7 Dy 2.92-3.13
Pd (0.2972, 0.9518, 0.4704)  1 Pd 2.91, 7 Dy 2.92-3.13
Pd (0.7972, 0.5482, 0.5296)  1 Pd 2.91, 7 Dy 2.92-3.13

DFT (PBE) results for a geometry-optimized Dy6Ir2Pd structure.

**Space-group type**: No. 14
**Energy of formation from the pure elements**: -610.6 meV per atom

Unit cell a=6.6308 b=7.2126 c=9.9768 alpha=90.00 beta=93.99 gamma=90.00
With the nearest neighbours (Å) after each atom.
Sites, in units of the cell vectors:
Dy (0.1825, 0.3303, 0.4166)  1 Pd 2.82, 2 Ir 2.83-2.89
Dy (0.6590, 0.1828, 0.5689)  1 Pd 2.75, 2 Ir 2.81-3.07
Dy (0.3308, 0.5526, 0.7421)  1 Pd 2.76, 2 Ir 2.80-2.82
Dy (0.3175, 0.8303, 0.0834)  1 Pd 2.82, 2 Ir 2.83-2.89
Dy (0.3410, 0.8172, 0.4311)  1 Pd 2.75, 2 Ir 2.81-3.07
Dy (0.8410, 0.6828, 0.9311)  1 Pd 2.75, 2 Ir 2.81-3.07
Dy (0.6825, 0.1697, 0.9166)  1 Pd 2.82, 2 Ir 2.83-2.89
Dy (0.6692, 0.4474, 0.2579)  1 Pd 2.76, 2 Ir 2.80-2.82
Dy (0.8175, 0.6697, 0.5834)  1 Pd 2.82, 2 Ir 2.83-2.89
Dy (0.1692, 0.0526, 0.7579)  1 Pd 2.76, 2 Ir 2.80-2.82
Dy (0.8308, 0.9474, 0.2421)  1 Pd 2.76, 2 Ir 2.80-2.82
Dy (0.1590, 0.3172, 0.0689)  1 Pd 2.75, 2 Ir 2.81-3.07
Pd (0.0000, 0.0000, 0.5000)  6 Dy 2.75-2.82
Pd (0.5000, 0.5000, 0.0000)  6 Dy 2.75-2.82
Ir (0.4521, 0.1164, 0.2714)  6 Dy 2.80-3.07
Ir (0.5479, 0.8836, 0.7286)  6 Dy 2.80-3.07
Ir (0.0479, 0.6164, 0.2286)  6 Dy 2.80-3.07
Ir (0.9521, 0.3836, 0.7714)  6 Dy 2.80-3.07

DFT (PBE) results for a geometry-optimized Dy2IrPd structure.

**Space-group type**: No. 123
**Energy of formation from the pure elements**: -889.4 meV per atom
**Distance to the lowest polymorph of the same formula**: 14 meV/atom

Unit cell a=3.4702 b=3.4702 c=6.9409 alpha=90.00 beta=90.00 gamma=90.00
With the nearest neighbours (Å) after each atom.
Sites, in units of the cell vectors:
Ir (0.5000, 0.5000, 0.5000)  8 Dy 2.96
Dy (0.0000, 0.0000, 0.7390)  4 Ir 2.96, 4 Pd 3.05
Dy (0.0000, 0.0000, 0.2610)  4 Ir 2.96, 4 Pd 3.05
Pd (0.5000, 0.5000, 0.0000)  8 Dy 3.05

DFT (PBE) results for a geometry-optimized Dy6Ir5Pd structure.

**Space-group type**: No. 65
**Energy of formation from the pure elements**: -847.5 meV per atom

Unit cell a=4.7924 b=7.0780 c=7.5790 alpha=90.00 beta=71.57 gamma=90.00
With the nearest neighbours (Å) after each atom.
Sites, in units of the cell vectors:
Ir (0.0000, 0.5000, 0.0000)  8 Dy 2.96-3.00
Ir (0.6670, 0.5000, 0.6660)  8 Dy 2.95-2.98
Ir (0.3351, 0.0000, 0.3299)  8 Dy 2.98
Ir (0.6649, 0.0000, 0.6701)  8 Dy 2.98
Ir (0.3330, 0.5000, 0.3340)  8 Dy 2.95-2.98
Dy (0.8313, 0.2506, 0.3375)  7 Ir 2.95-3.00, 1 Pd 3.01
Dy (0.5000, 0.2539, 0.0000)  6 Ir 2.96-2.98, 2 Pd 3.00
Dy (0.1687, 0.7494, 0.6625)  7 Ir 2.95-3.00, 1 Pd 3.01
Dy (0.5000, 0.7461, 0.0000)  6 Ir 2.96-2.98, 2 Pd 3.00
Dy (0.8313, 0.7494, 0.3375)  7 Ir 2.95-3.00, 1 Pd 3.01
Dy (0.1687, 0.2506, 0.6625)  7 Ir 2.95-3.00, 1 Pd 3.01
Pd (0.0000, 0.0000, 0.0000)  8 Dy 3.00-3.01

DFT (PBE) results for a geometry-optimized PmDyIrPd structure.

**Space-group type**: No. 216
**Energy of formation from the pure elements**: -808.4 meV per atom

Unit cell a=4.9640 b=4.9640 c=4.9640 alpha=60.00 beta=60.00 gamma=60.00
With the nearest neighbours (Å) after each atom.
Sites, in units of the cell vectors:
Pm (0.2500, 0.2500, 0.2500)  4 Pd 3.04, 4 Ir 3.04
Ir (0.0000, 0.0000, 0.0000)  4 Pm 3.04, 4 Dy 3.04
Dy (0.7500, 0.7500, 0.7500)  4 Ir 3.04, 4 Pd 3.04
Pd (0.5000, 0.5000, 0.5000)  4 Dy 3.04, 4 Pm 3.04

DFT (PBE) results for a geometry-optimized DySi2IrPd2 structure.

**Formation energy from raw total energies**: -0.4461 eV per atom
**Space-group type**: No. 123

Unit cell a=4.5579 b=4.5579 c=5.5410 alpha=90.00 beta=90.00 gamma=90.00
With the nearest neighbours (Å) after each atom.
Sites, in units of the cell vectors:
Pd (0.5000, 0.5000, 0.2543)  4 Si 2.68, 2 Pd 2.72-2.82
Pd (0.5000, 0.5000, 0.7457)  4 Si 2.68, 2 Pd 2.72-2.82
Ir (0.0000, 0.0000, 0.0000)  4 Si 2.28
Si (0.5000, 0.0000, 0.0000)  2 Ir 2.28
Si (0.0000, 0.5000, 0.0000)  2 Ir 2.28
Dy (0.0000, 0.0000, 0.5000)  2 Ir 2.77

DFT (PBE) results for a geometry-optimized Dy2Si4Ir3Pd structure.

**Formation energy from raw total energies**: -1.0094 eV per atom
**Space-group type**: No. 115

Unit cell a=4.1224 b=4.1224 c=9.9782 alpha=90.00 beta=90.00 gamma=90.00
With the nearest neighbours (Å) after each atom.
Sites, in units of the cell vectors:
Ir (0.0000, 0.5000, 0.1274)  5 Si 2.36-2.42
Ir (0.0000, 0.0000, 0.5000)  4 Si 2.47
Ir (0.5000, 0.0000, 0.8726)  5 Si 2.36-2.42
Si (0.5000, 0.5000, 0.0000)  4 Ir 2.42
Si (0.0000, 0.0000, 0.0000)  4 Ir 2.42
Si (0.0000, 0.5000, 0.3638)  3 Ir 2.36-2.47, 2 Pd 2.47
Si (0.5000, 0.0000, 0.6362)  3 Ir 2.36-2.47, 2 Pd 2.47
Pd (0.5000, 0.5000, 0.5000)  4 Si 2.47
Dy (0.5000, 0.0000, 0.2409)  6 Ir 3.13-3.31, 8 Si 3.16-3.17, 2 Pd 3.31
Dy (0.0000, 0.5000, 0.7591)  6 Ir 3.13-3.31, 8 Si 3.16-3.17, 2 Pd 3.31

DFT (PBE) results for a geometry-optimized DySnIrPd structure.

**Space-group type**: No. 216
**Energy of formation from the pure elements**: -693.2 meV per atom

Unit cell a=4.7583 b=4.7583 c=4.7583 alpha=60.00 beta=60.00 gamma=60.00
With the nearest neighbours (Å) after each atom.
Sites, in units of the cell vectors:
Dy (0.7500, 0.7500, 0.7500)  4 Pd 2.91, 4 Ir 2.91
Sn (0.2500, 0.2500, 0.2500)  4 Ir 2.91, 4 Pd 2.91
Pd (0.0000, 0.0000, 0.0000)  4 Dy 2.91, 4 Sn 2.91
Ir (0.5000, 0.5000, 0.5000)  4 Sn 2.91, 4 Dy 2.91

DFT (PBE) results for a geometry-optimized TbDyIrPd structure.

**Space-group type**: No. 216
**Energy of formation from the pure elements**: -889.6 meV per atom

Unit cell a=4.9077 b=4.9077 c=4.9077 alpha=60.00 beta=60.00 gamma=60.00
With the nearest neighbours (Å) after each atom.
Sites, in units of the cell vectors:
Pd (0.5000, 0.5000, 0.5000)  4 Tb 3.01, 4 Dy 3.01
Ir (0.0000, 0.0000, 0.0000)  4 Tb 3.01, 4 Dy 3.01
Dy (0.2500, 0.2500, 0.2500)  4 Ir 3.01, 4 Pd 3.01
Tb (0.7500, 0.7500, 0.7500)  4 Pd 3.01, 4 Ir 3.01

DFT (PBE) results for a geometry-optimized DyThIrPd structure.

**Space-group type**: No. 38
**Energy of formation from the pure elements**: -945.1 meV per atom
**Distance to the lowest polymorph of the same formula**: 0 meV/atom

Unit cell a=3.8676 b=4.2492 c=5.9406 alpha=90.00 beta=109.00 gamma=90.00
With the nearest neighbours (Å) after each atom.
Sites, in units of the cell vectors:
Pd (0.5897, 0.5000, 0.1794)  4 Dy 2.93, 2 Ir 2.98, 3 Th 3.10-3.18
Dy (0.1418, 0.0000, 0.2835)  4 Pd 2.93, 1 Ir 2.94
Th (0.8655, 0.5000, 0.7310)  4 Ir 2.90, 3 Pd 3.10-3.18
Ir (0.4031, 0.0000, 0.8061)  4 Th 2.90, 1 Dy 2.94, 2 Pd 2.98

DFT (PBE) results for a geometry-optimized DyThIrPd structure.

**Space-group type**: No. 216
**Energy of formation from the pure elements**: -797.1 meV per atom
**Distance to the lowest polymorph of the same formula**: 148 meV/atom

Unit cell a=5.0151 b=5.0151 c=5.0151 alpha=60.00 beta=60.00 gamma=60.00
With the nearest neighbours (Å) after each atom.
Sites, in units of the cell vectors:
Ir (0.0000, 0.0000, 0.0000)  4 Dy 3.07, 4 Th 3.07
Dy (0.2500, 0.2500, 0.2500)  4 Pd 3.07, 4 Ir 3.07
Pd (0.5000, 0.5000, 0.5000)  4 Th 3.07, 4 Dy 3.07
Th (0.7500, 0.7500, 0.7500)  4 Pd 3.07, 4 Ir 3.07

DFT (PBE) results for a geometry-optimized DyTiIrPd structure.

**Space-group type**: No. 216
**Energy of formation from the pure elements**: -646.2 meV per atom

Unit cell a=4.6757 b=4.6757 c=4.6757 alpha=60.00 beta=60.00 gamma=60.00
With the nearest neighbours (Å) after each atom.
Sites, in units of the cell vectors:
Pd (0.7500, 0.7500, 0.7500)  4 Dy 2.86, 4 Ti 2.86
Ir (0.2500, 0.2500, 0.2500)  4 Dy 2.86, 4 Ti 2.86
Ti (0.0000, 0.0000, 0.0000)  4 Ir 2.86, 4 Pd 2.86
Dy (0.5000, 0.5000, 0.5000)  4 Ir 2.86, 4 Pd 2.86

DFT (PBE) results for a geometry-optimized DyTlIrPd structure.

**Space-group type**: No. 216
**Energy of formation from the pure elements**: -448.1 meV per atom

Unit cell a=4.7998 b=4.7998 c=4.7998 alpha=60.00 beta=60.00 gamma=60.00
With the nearest neighbours (Å) after each atom.
Sites, in units of the cell vectors:
Pd (0.7500, 0.7500, 0.7500)  4 Tl 2.94, 4 Dy 2.94
Ir (0.2500, 0.2500, 0.2500)  4 Tl 2.94, 4 Dy 2.94
Dy (0.5000, 0.5000, 0.5000)  4 Ir 2.94, 4 Pd 2.94
Tl (0.0000, 0.0000, 0.0000)  4 Pd 2.94, 4 Ir 2.94

DFT (PBE) results for a geometry-optimized DyTmIrPd structure.

**Space-group type**: No. 216
**Energy of formation from the pure elements**: -941.1 meV per atom

Unit cell a=4.8640 b=4.8640 c=4.8640 alpha=60.00 beta=60.00 gamma=60.00
With the nearest neighbours (Å) after each atom.
Sites, in units of the cell vectors:
Ir (0.0000, 0.0000, 0.0000)  4 Dy 2.98, 4 Tm 2.98
Pd (0.5000, 0.5000, 0.5000)  4 Dy 2.98, 4 Tm 2.98
Dy (0.7500, 0.7500, 0.7500)  4 Ir 2.98, 4 Pd 2.98
Tm (0.2500, 0.2500, 0.2500)  4 Ir 2.98, 4 Pd 2.98

DFT (PBE) results for a geometry-optimized DyYIrPd structure.

**Space-group type**: No. 216
**Energy of formation from the pure elements**: -889.8 meV per atom

Unit cell a=4.9038 b=4.9038 c=4.9038 alpha=60.00 beta=60.00 gamma=60.00
With the nearest neighbours (Å) after each atom.
Sites, in units of the cell vectors:
Pd (0.2500, 0.2500, 0.2500)  4 Dy 3.00, 4 Y 3.00
Y (0.0000, 0.0000, 0.0000)  4 Ir 3.00, 4 Pd 3.00
Ir (0.7500, 0.7500, 0.7500)  4 Dy 3.00, 4 Y 3.00
Dy (0.5000, 0.5000, 0.5000)  4 Ir 3.00, 4 Pd 3.00

DFT (PBE) results for a geometry-optimized PmDyIr4 structure.

**Space-group type**: No. 216
**Energy of formation from the pure elements**: -765.4 meV per atom

Unit cell a=5.3919 b=5.3919 c=5.3919 alpha=60.00 beta=60.00 gamma=60.00
With the nearest neighbours (Å) after each atom.
Sites, in units of the cell vectors:
Ir (0.1254, 0.6249, 0.6249)  6 Ir 2.69-2.70
Ir (0.6249, 0.6249, 0.6249)  6 Ir 2.69-2.70
Ir (0.6249, 0.6249, 0.1254)  6 Ir 2.69-2.70
Ir (0.6249, 0.1254, 0.6249)  6 Ir 2.69-2.70
Pm (0.0000, 0.0000, 0.0000)  12 Ir 3.16, 4 Dy 3.30
Dy (0.2500, 0.2500, 0.2500)  12 Ir 3.16, 4 Pm 3.30

DFT (PBE) results for a geometry-optimized PmDy2Ir structure.

**Space-group type**: No. 123
**Energy of formation from the pure elements**: -413.6 meV per atom
**Distance to the lowest polymorph of the same formula**: 133 meV/atom

Unit cell a=3.4912 b=3.4912 c=8.8947 alpha=90.00 beta=90.00 gamma=90.00
With the nearest neighbours (Å) after each atom.
Sites, in units of the cell vectors:
Dy (0.0000, 0.0000, 0.1829)  4 Ir 2.96, 1 Dy 3.25
Dy (0.0000, 0.0000, 0.8171)  4 Ir 2.96, 1 Dy 3.25
Ir (0.5000, 0.5000, 0.0000)  8 Dy 2.96
Pm (0.5000, 0.5000, 0.5000)  4 Pm 3.49, 8 Dy 3.75

DFT (PBE) results for a geometry-optimized PmDy3Ir3 structure.

**Space-group type**: No. 65
**Energy of formation from the pure elements**: -665.5 meV per atom
**Distance to the lowest polymorph of the same formula**: 16 meV/atom

Unit cell a=7.0304 b=7.0304 c=6.6417 alpha=90.01 beta=90.01 gamma=91.72
With the nearest neighbours (Å) after each atom.
Sites, in units of the cell vectors:
Dy (0.7556, 0.7556, 0.4997)  6 Ir 2.90-3.01
Dy (0.7688, 0.2312, 0.0000)  6 Ir 2.88-2.98
Dy (0.2444, 0.2444, 0.5003)  6 Ir 2.90-3.01
Dy (0.2440, 0.7560, 0.5000)  6 Ir 2.95-2.96
Dy (0.7560, 0.2440, 0.5000)  6 Ir 2.95-2.96
Dy (0.2312, 0.7688, 0.0000)  6 Ir 2.88-2.98
Pm (0.7374, 0.7374, 0.9997)  6 Ir 3.03-3.08, 2 Dy 3.33
Pm (0.2626, 0.2626, 0.0003)  6 Ir 3.03-3.08, 2 Dy 3.33
Ir (0.5000, 0.0000, 0.7466)  6 Dy 2.95-3.01, 2 Pm 3.03-3.04, 1 Ir 3.28
Ir (0.5000, 0.0000, 0.2534)  6 Dy 2.95-3.01, 2 Pm 3.03-3.04, 1 Ir 3.28
Ir (0.0001, 0.0001, 0.2536)  6 Dy 2.88-2.96, 2 Pm 3.07-3.08
Ir (0.0000, 0.5000, 0.7466)  6 Dy 2.95-3.01, 2 Pm 3.03-3.04, 1 Ir 3.28
Ir (0.0000, 0.5000, 0.2534)  6 Dy 2.95-3.01, 2 Pm 3.03-3.04, 1 Ir 3.28
Ir (0.9999, 0.9999, 0.7464)  6 Dy 2.88-2.96, 2 Pm 3.07-3.08